CsCrCd2F8: optimized geometry, PBE with a Hubbard U.

Unit cell a=5.304 b=5.396 c=7.827 alpha=77.02 beta=78.54 gamma=77.89
Space group P-1 (No. 2)
Symmetry-distinct sites (fractional):
Cs 0.000 0.000 0.000
Cr 0.000 0.000 0.500
Cd 0.448 0.447 0.242
F 0.159 0.748 0.689
F 0.237 0.817 0.325
F 0.251 0.223 0.482
F 0.370 0.316 0.009

Results
Total DFT energy (no corrections)   -4.536 eV per atom
Mass density   4.4 g/cm3